[1]
First-principles (GGA-PBEsol) data for TaCrSbI2 after structural relaxation, as listed in Alexandria via LeMat-Bulk.

Geometry as POSCAR:
```
TaCrSbI2
1.0
-3.3661 -3.8747 1.8069
4.1621 -2.5131 2.3645
-0.8492 2.8448 4.5184
Sb I Cr Ta
1 2 1 1
direct
0.5000 0.0000 0.0000
0.0000 0.0000 0.5000
0.0000 0.5000 0.0000
0.5000 0.5000 0.5000
0.0000 0.0000 0.0000
```

raw formation energy	0.8905	eV per atom
E_tot	-26.4	eV/cell

=====

[2]
First-principles (GGA-PBEsol) data for TlCrSb2I after structural relaxation, as listed in Alexandria via LeMat-Bulk.

Geometry as POSCAR:
```
TlCrSb2I
1.0
-0.9172 -5.4877 0.3746
5.5005 -0.9145 0.0715
-0.0096 0.4110 5.9969
Cr Sb Tl I
1 2 1 1
direct
0.5000 0.5000 0.5000
0.5000 0.0000 0.0000
0.0000 0.5000 0.0000
0.0000 0.0000 0.0000
0.0000 0.0000 0.5000
```

raw formation energy	1.1836	eV per atom
E_tot	-17.8	eV/cell

=====

[3]
First-principles (GGA-PBEsol) data for ZrCrSbI2 after structural relaxation, as listed in Alexandria via LeMat-Bulk.

Geometry as POSCAR:
```
ZrCrSbI2
1.0
5.1672 0.0000 0.0000
0.0000 5.1672 0.0000
0.0000 0.0000 5.2765
Cr Sb Zr I
1 1 1 2
direct
0.0000 0.0000 0.0000
0.0000 0.0000 0.5000
0.5000 0.5000 0.5000
0.0000 0.5000 0.0000
0.5000 0.0000 0.0000
```

raw formation energy	0.6014	eV per atom
E_tot	-24.4	eV/cell

=====

[4]
First-principles (GGA-PBEsol) data for CrSeI2 after structural relaxation, as listed in Alexandria via LeMat-Bulk.

Geometry as POSCAR:
```
CrSeI2
1.0
-0.7821 2.5066 4.4332
-4.6038 2.0848 1.0032
-3.0264 -2.0606 3.6253
Se I Cr
1 2 1
direct
0.5000 0.5000 0.5000
0.7500 0.7500 0.7500
0.2500 0.2500 0.2500
0.0000 0.0000 0.0000
```

raw formation energy	0.6150	eV per atom
E_tot	-15.2	eV/cell

=====

[5]
First-principles (GGA-PBEsol) data for CrSiI2 after structural relaxation, as listed in Alexandria via LeMat-Bulk.

Geometry as POSCAR:
```
CrSiI2
1.0
5.1222 0.0000 0.0000
2.5611 4.4360 0.0000
2.5611 1.4787 4.1823
Cr I Si
1 2 1
direct
0.5000 0.5000 0.5000
0.7500 0.7500 0.7500
0.2500 0.2500 0.2500
0.0000 0.0000 0.0000
```

raw formation energy	0.6934	eV per atom
E_tot	-16.7	eV/cell

=====

[6]
First-principles (GGA-PBEsol) data for SrCr2SiI after structural relaxation, as listed in Alexandria via LeMat-Bulk.

Geometry as POSCAR:
```
SrCr2SiI
1.0
5.5391 0.0000 0.0000
0.0000 5.8302 0.0000
0.0000 0.0000 5.8302
Sr Si I Cr
1 1 1 2
direct
0.0000 0.0000 0.0000
0.5000 0.0000 0.0000
0.5000 0.5000 0.5000
0.0000 0.0000 0.5000
0.0000 0.5000 0.0000
```

raw formation energy	1.9843	eV per atom
E_tot	-19.9	eV/cell

=====

[7]
First-principles (GGA-PBEsol) data for CrSn2I after structural relaxation, as listed in Alexandria via LeMat-Bulk.

Geometry as POSCAR:
```
CrSn2I
1.0
-1.9797 -2.5772 4.1232
2.5816 -4.1018 2.0180
2.3039 0.4027 4.7001
Sn I Cr
2 1 1
direct
0.7500 0.7500 0.7500
0.2500 0.2500 0.2500
0.5000 0.5000 0.5000
0.0000 0.0000 0.0000
```

raw formation energy	0.6628	eV per atom
E_tot	-17.9	eV/cell

=====

[8]
First-principles (GGA-PBEsol) data for SrCr2WI after structural relaxation, as listed in Alexandria via LeMat-Bulk.

Geometry as POSCAR:
```
SrCr2WI
1.0
5.0792 0.0000 0.0000
0.0000 5.0792 0.0000
0.0000 0.0000 5.9745
Cr I W Sr
2 1 1 1
direct
0.0000 0.5000 0.0000
0.5000 0.0000 0.0000
0.0000 0.0000 0.0000
0.5000 0.5000 0.5000
0.0000 0.0000 0.5000
```

raw formation energy	2.2208	eV per atom
E_tot	-26.8	eV/cell

=====

Repeat the second record exactly.
First-principles (GGA-PBEsol) data for TlCrSb2I after structural relaxation, as listed in Alexandria via LeMat-Bulk.

Geometry as POSCAR:
```
TlCrSb2I
1.0
-0.9172 -5.4877 0.3746
5.5005 -0.9145 0.0715
-0.0096 0.4110 5.9969
Cr Sb Tl I
1 2 1 1
direct
0.5000 0.5000 0.5000
0.5000 0.0000 0.0000
0.0000 0.5000 0.0000
0.0000 0.0000 0.0000
0.0000 0.0000 0.5000
```

raw formation energy	1.1836	eV per atom
E_tot	-17.8	eV/cell

=====

Q: Which formula does entry 4 have?
A: CrSeI2

=====

Q: Which value of raw formation energy does entry 8 give?
A: 2.2208 eV per atom

=====

Q: Which of these has the lowest E_tot?
A: SrCr2WI